[1]
{"formula": "Ta4CuAsN2", "functional": "PBE", "state": "relaxed", "cell": [[3.219, 0.000, 0.000], [-1.609, 2.787, 0.000], [0.000, 0.000, 12.402]], "species": ["Ta", "Ta", "Ta", "Ta", "N", "N", "Cu", "As"], "frac_coords": [[0.667, 0.333, 0.847], [0.667, 0.333, 0.153], [0.333, 0.667, 0.338], [0.333, 0.667, 0.662], [0.000, 0.000, 0.250], [0.000, 0.000, 0.750], [0.667, 0.333, 0.500], [0.333, 0.667, 0.000]], "space_group": "P-6m2"}



[2]
{"formula": "NaCu2AsP", "functional": "PBE", "state": "relaxed", "cell": [[-0.400, -4.192, 3.870], [2.890, 0.387, 4.920], [-3.481, 3.231, -3.186]], "species": ["As", "Cu", "Cu", "P", "Na"], "frac_coords": [[0.387, 0.387, 0.000], [0.744, 0.244, 0.500], [0.244, 0.744, 0.500], [0.624, 0.624, 0.000], [0.001, 0.001, 0.000]], "space_group": "I4mm"}



[3]
{"formula": "NaSmCu2AsP", "functional": "PBE", "state": "relaxed", "cell": [[4.081, 0.000, 0.000], [-2.040, 3.534, 0.000], [0.000, 0.000, 7.933]], "species": ["As", "Na", "P", "Cu", "Cu", "Sm"], "frac_coords": [[0.000, 0.000, 0.236], [0.333, 0.667, 0.502], [0.667, 0.333, 0.769], [0.667, 0.333, 0.249], [0.000, 0.000, 0.751], [0.333, 0.667, 0.993]], "space_group": "P3m1"}



Number 1: raw total energy -9.524 eV per atom. Number 2: raw total energy -4.003 eV per atom. Number 3: raw total energy -4.607 eV per atom.